VASP calculation (PBE-GGA) on crystalline PuMnCoNi at its relaxed geometry.

Lattice parameters (Å, degrees): 4.4013 4.4013 4.4013 60.00 60.00 60.00
Atoms (fractional coordinates):
Pu1 0.0000 0.0000 0.0000
Mn1 0.5000 0.5000 0.5000
Co1 0.2500 0.2500 0.2500
Ni1 0.7500 0.7500 0.7500

Computed properties:
- SG: F-43m
- ΔE_f: 0.076 eV/atom
- Calculated volume: 15.1 Å³ per atom